# MgNbH | the Alexandria database | PBE | optimized geometry
data_MgNbH
_chemical_formula_sum 'Mg4 Nb4 H4'
_space_group_name_H-M_alt 'C 1 m 1'
_space_group_IT_number 8
_space_group_name_Hall 'C -2y'
_cell_length_a 11.473
_cell_length_b 3.121
_cell_length_c 5.315
_cell_angle_alpha 90.00
_cell_angle_beta 117.52
_cell_angle_gamma 90.00
loop_
_atom_site_label
_atom_site_fract_x
_atom_site_fract_y
_atom_site_fract_z
Mg1 0.000 0.000 0.000
Mg2 0.009 0.500 0.517
Nb1 0.256 0.000 0.903
Nb2 0.257 0.500 0.441
H1 0.197 0.000 0.196
H2 0.332 0.500 0.163
# energy above the lowest structure with this stoichiometry = 0.114 eV per atom
# spin magnetization = 0.00 Bohr magnetons per cell
# crystal system = monoclinic
# Fermi-level density of states = 0.449 states/eV per atom